CsBCl3: optimized geometry, PBE-GGA.

Results
Raw formation energy in meV/atom: -612.8
Electronic total energy in eV/atom: -3.227
Polymorph energy (0 for the lowest one) in meV per atom: 735

The structure in CIF format:
```
data_CsBCl3
_cell_length_a 7.5943
_cell_length_b 7.5943
_cell_length_c 9.7208
_cell_angle_alpha 90.00
_cell_angle_beta 90.00
_cell_angle_gamma 90.00
_symmetry_space_group_name_H-M 'I 4/m m m'
_symmetry_Int_Tables_number 139
_symmetry_space_group_name_Hall '-I 4 2'
loop_
_atom_site_label
_atom_site_type_symbol
_atom_site_fract_x
_atom_site_fract_y
_atom_site_fract_z
Cs1 Cs 0.0000 0.5000 0.2500
B1 B 0.0000 0.0000 0.0000
B2 B 0.0000 0.0000 0.5000
Cl1 Cl 0.0000 0.0000 0.1739
Cl2 Cl 0.2327 0.2327 0.5000
```


Cs3BCl: optimized geometry, PBE-GGA.

Results
Raw formation energy in meV/atom: 143.0
Electronic total energy in eV/atom: -2.074

The structure in CIF format:
```
data_Cs3BCl
_cell_length_a 6.5838
_cell_length_b 6.5838
_cell_length_c 6.5838
_cell_angle_alpha 90.00
_cell_angle_beta 90.00
_cell_angle_gamma 90.00
_symmetry_space_group_name_H-M 'P m -3 m'
_symmetry_Int_Tables_number 221
_symmetry_space_group_name_Hall '-P 4 2 3'
loop_
_atom_site_label
_atom_site_type_symbol
_atom_site_fract_x
_atom_site_fract_y
_atom_site_fract_z
Cs1 Cs 0.0000 0.0000 0.5000
B1 B 0.5000 0.5000 0.5000
Cl1 Cl 0.0000 0.0000 0.0000
```


CsBCl3: optimized geometry, PBE-GGA.

Results
Raw formation energy in meV/atom: -1348.1
Electronic total energy in eV/atom: -3.962
Polymorph energy (0 for the lowest one) in meV per atom: 0

The structure in CIF format:
```
data_CsBCl3
_cell_length_a 7.2873
_cell_length_b 7.8153
_cell_length_c 12.8425
_cell_angle_alpha 90.00
_cell_angle_beta 124.49
_cell_angle_gamma 90.00
_symmetry_space_group_name_H-M 'P 1 21/c 1'
_symmetry_Int_Tables_number 14
_symmetry_space_group_name_Hall '-P 2ybc'
loop_
_atom_site_label
_atom_site_type_symbol
_atom_site_fract_x
_atom_site_fract_y
_atom_site_fract_z
Cs1 Cs 0.2481 0.0230 0.2478
B1 B 0.4555 0.5926 0.4560
Cl1 Cl 0.2786 0.5468 0.2792
Cl2 Cl 0.2794 0.7298 0.4904
Cl3 Cl 0.3013 0.2312 0.0104
```


Cs2BCl7: optimized geometry, PBE-GGA.

Results
Raw formation energy in meV/atom: -921.5
Electronic total energy in eV/atom: -3.053

The structure in CIF format:
```
data_Cs2BCl7
_cell_length_a 7.6109
_cell_length_b 7.6109
_cell_length_c 10.9456
_cell_angle_alpha 90.00
_cell_angle_beta 90.00
_cell_angle_gamma 90.00
_symmetry_space_group_name_H-M 'I 4/m m m'
_symmetry_Int_Tables_number 139
_symmetry_space_group_name_Hall '-I 4 2'
loop_
_atom_site_label
_atom_site_type_symbol
_atom_site_fract_x
_atom_site_fract_y
_atom_site_fract_z
Cs1 Cs 0.0000 0.5000 0.2500
B1 B 0.0000 0.0000 0.0000
Cl1 Cl 0.0000 0.0000 0.2900
Cl2 Cl 0.0000 0.0000 0.5000
Cl3 Cl 0.1845 0.1845 0.0000
```


CsB6Cl6: optimized geometry, PBE-GGA.

Results
Raw formation energy in meV/atom: -957.4
Electronic total energy in eV/atom: -4.957

The structure in CIF format:
```
data_CsB6Cl6
_cell_length_a 9.7348
_cell_length_b 9.7348
_cell_length_c 47.3410
_cell_angle_alpha 90.00
_cell_angle_beta 90.00
_cell_angle_gamma 120.00
_symmetry_space_group_name_H-M 'R -3'
_symmetry_Int_Tables_number 148
_symmetry_space_group_name_Hall '-R 3'
loop_
_atom_site_label
_atom_site_type_symbol
_atom_site_fract_x
_atom_site_fract_y
_atom_site_fract_z
Cs1 Cs 0.0000 0.0000 0.1266
Cs2 Cs 0.0000 0.0000 0.2918
B1 B 0.0226 0.1162 0.5286
B2 B 0.0287 0.9109 0.9714
B3 B 0.0362 0.1866 0.4931
B4 B 0.0460 0.8557 0.0068
Cl1 Cl 0.0239 0.7410 0.1812
Cl2 Cl 0.0365 0.2768 0.6522
Cl3 Cl 0.0460 0.2386 0.5586
Cl4 Cl 0.0587 0.8168 0.9412
```


Cs3B2Cl8: optimized geometry, PBE-GGA.

Results
Raw formation energy in meV/atom: -1254.8
Electronic total energy in eV/atom: -3.615

The structure in CIF format:
```
data_Cs3B2Cl8
_cell_length_a 6.7078
_cell_length_b 6.7078
_cell_length_c 43.5208
_cell_angle_alpha 90.00
_cell_angle_beta 90.00
_cell_angle_gamma 120.00
_symmetry_space_group_name_H-M 'R -3 m'
_symmetry_Int_Tables_number 166
_symmetry_space_group_name_Hall '-R 3 2"'
loop_
_atom_site_label
_atom_site_type_symbol
_atom_site_fract_x
_atom_site_fract_y
_atom_site_fract_z
Cs1 Cs 0.0000 0.0000 0.0000
Cs2 Cs 0.0000 0.0000 0.2204
B1 B 0.0000 0.0000 0.3893
Cl1 Cl 0.0000 0.0000 0.3465
Cl2 Cl 0.0311 0.5155 0.2629
```


CsB2Cl6: optimized geometry, PBE-GGA.

Results
Raw formation energy in meV/atom: -953.7
Electronic total energy in eV/atom: -3.764

The structure in CIF format:
```
data_CsB2Cl6
_cell_length_a 14.4035
_cell_length_b 12.4876
_cell_length_c 8.1393
_cell_angle_alpha 90.00
_cell_angle_beta 123.35
_cell_angle_gamma 90.00
_symmetry_space_group_name_H-M 'C 1 2/c 1'
_symmetry_Int_Tables_number 15
_symmetry_space_group_name_Hall '-C 2yc'
loop_
_atom_site_label
_atom_site_type_symbol
_atom_site_fract_x
_atom_site_fract_y
_atom_site_fract_z
Cs1 Cs 0.0000 0.2118 0.2500
B1 B 0.2333 0.4540 0.7340
Cl1 Cl 0.1383 0.4848 0.2777
Cl2 Cl 0.1465 0.0263 0.7165
Cl3 Cl 0.2401 0.3105 0.7360
```


CsB2Cl8: optimized geometry, PBE-GGA.

Results
Raw formation energy in meV/atom: -1019.0
Electronic total energy in eV/atom: -3.654

The structure in CIF format:
```
data_CsB2Cl8
_cell_length_a 11.8363
_cell_length_b 6.8737
_cell_length_c 10.0613
_cell_angle_alpha 90.00
_cell_angle_beta 113.75
_cell_angle_gamma 90.00
_symmetry_space_group_name_H-M 'C 1 2/m 1'
_symmetry_Int_Tables_number 12
_symmetry_space_group_name_Hall '-C 2y'
loop_
_atom_site_label
_atom_site_type_symbol
_atom_site_fract_x
_atom_site_fract_y
_atom_site_fract_z
Cs1 Cs 0.0000 0.0000 0.0000
B1 B 0.2472 0.0000 0.7421
Cl1 Cl 0.0814 0.5000 0.1912
Cl2 Cl 0.1806 0.0000 0.5422
Cl3 Cl 0.1949 0.2217 0.8068
```


CsBCl3: optimized geometry, PBE-GGA.

Results
Raw formation energy in meV/atom: -462.0
Electronic total energy in eV/atom: -3.076
Polymorph energy (0 for the lowest one) in meV per atom: 886

The structure in CIF format:
```
data_CsBCl3
_cell_length_a 4.8278
_cell_length_b 4.8278
_cell_length_c 4.8278
_cell_angle_alpha 90.00
_cell_angle_beta 90.00
_cell_angle_gamma 90.00
_symmetry_space_group_name_H-M 'P m -3 m'
_symmetry_Int_Tables_number 221
_symmetry_space_group_name_Hall '-P 4 2 3'
loop_
_atom_site_label
_atom_site_type_symbol
_atom_site_fract_x
_atom_site_fract_y
_atom_site_fract_z
Cs1 Cs 0.0000 0.0000 0.0000
B1 B 0.5000 0.5000 0.5000
Cl1 Cl 0.0000 0.5000 0.5000
```


CsCuB2Cl8: optimized geometry, PBE-GGA.

Results
Raw formation energy in meV/atom: -1003.8
Electronic total energy in eV/atom: -3.760

The structure in CIF format:
```
data_CsCuB2Cl8
_cell_length_a 6.0733
_cell_length_b 6.0733
_cell_length_c 28.7902
_cell_angle_alpha 90.00
_cell_angle_beta 90.00
_cell_angle_gamma 120.00
_symmetry_space_group_name_H-M 'R -3'
_symmetry_Int_Tables_number 148
_symmetry_space_group_name_Hall '-R 3'
loop_
_atom_site_label
_atom_site_type_symbol
_atom_site_fract_x
_atom_site_fract_y
_atom_site_fract_z
Cs1 Cs 0.0000 0.0000 0.0000
Cu1 Cu 0.0000 0.0000 0.5000
B1 B 0.0000 0.0000 0.2400
Cl1 Cl 0.0000 0.0000 0.3052
Cl2 Cl 0.0147 0.7150 0.2201
```


Cs2CuBCl6: optimized geometry, PBE-GGA.

Results
Raw formation energy in meV/atom: -1015.1
Electronic total energy in eV/atom: -3.371

The structure in CIF format:
```
data_Cs2CuBCl6
_cell_length_a 7.3165
_cell_length_b 7.3165
_cell_length_c 10.9579
_cell_angle_alpha 90.00
_cell_angle_beta 90.00
_cell_angle_gamma 90.00
_symmetry_space_group_name_H-M 'I 4/m m m'
_symmetry_Int_Tables_number 139
_symmetry_space_group_name_Hall '-I 4 2'
loop_
_atom_site_label
_atom_site_type_symbol
_atom_site_fract_x
_atom_site_fract_y
_atom_site_fract_z
Cs1 Cs 0.0000 0.5000 0.2500
Cu1 Cu 0.0000 0.0000 0.0000
B1 B 0.0000 0.0000 0.5000
Cl1 Cl 0.0000 0.0000 0.1944
Cl2 Cl 0.1923 0.1923 0.5000
```


Cs2BCl6F: optimized geometry, PBE-GGA.

Results
Raw formation energy in meV/atom: -946.2
Electronic total energy in eV/atom: -3.080

The structure in CIF format:
```
data_Cs2BCl6F
_cell_length_a 7.4659
_cell_length_b 7.4659
_cell_length_c 10.4771
_cell_angle_alpha 90.00
_cell_angle_beta 90.00
_cell_angle_gamma 90.00
_symmetry_space_group_name_H-M 'I 4/m m m'
_symmetry_Int_Tables_number 139
_symmetry_space_group_name_Hall '-I 4 2'
loop_
_atom_site_label
_atom_site_type_symbol
_atom_site_fract_x
_atom_site_fract_y
_atom_site_fract_z
Cs1 Cs 0.0000 0.5000 0.2500
B1 B 0.0000 0.0000 0.0000
Cl1 Cl 0.0000 0.0000 0.3047
Cl2 Cl 0.1881 0.1881 0.0000
F1 F 0.0000 0.0000 0.5000
```


Cs2GeBCl6: optimized geometry, PBE-GGA.

Results
Raw formation energy in meV/atom: -903.6
Electronic total energy in eV/atom: -3.312

The structure in CIF format:
```
data_Cs2GeBCl6
_cell_length_a 6.9861
_cell_length_b 6.9861
_cell_length_c 11.4618
_cell_angle_alpha 90.00
_cell_angle_beta 90.00
_cell_angle_gamma 90.00
_symmetry_space_group_name_H-M 'I 4/m m m'
_symmetry_Int_Tables_number 139
_symmetry_space_group_name_Hall '-I 4 2'
loop_
_atom_site_label
_atom_site_type_symbol
_atom_site_fract_x
_atom_site_fract_y
_atom_site_fract_z
Cs1 Cs 0.0000 0.5000 0.2500
Ge1 Ge 0.0000 0.0000 0.0000
B1 B 0.0000 0.0000 0.5000
Cl1 Cl 0.0000 0.0000 0.2262
Cl2 Cl 0.2150 0.2150 0.5000
```


Cs3B12H12Cl: optimized geometry, PBE-GGA.

Results
Electronic total energy in eV/atom: -4.976

The structure in CIF format:
```
data_Cs3B12H12Cl
_cell_length_a 10.4658
_cell_length_b 10.4658
_cell_length_c 11.9559
_cell_angle_alpha 90.00
_cell_angle_beta 90.00
_cell_angle_gamma 120.00
_symmetry_space_group_name_H-M 'R -3 m'
_symmetry_Int_Tables_number 166
_symmetry_space_group_name_Hall '-R 3 2"'
loop_
_atom_site_label
_atom_site_type_symbol
_atom_site_fract_x
_atom_site_fract_y
_atom_site_fract_z
Cs1 Cs 0.0000 0.5000 0.0000
B1 B 0.0566 0.1132 0.8875
B2 B 0.0916 0.1833 0.0267
H1 H 0.0195 0.5098 0.7131
H2 H 0.0972 0.1943 0.8080
Cl1 Cl 0.0000 0.0000 0.5000
```


Cs2HgBCl6: optimized geometry, PBE-GGA.

Results
Raw formation energy in meV/atom: -930.4
Electronic total energy in eV/atom: -2.907

The structure in CIF format:
```
data_Cs2HgBCl6
_cell_length_a 7.3006
_cell_length_b 7.3006
_cell_length_c 11.1902
_cell_angle_alpha 90.00
_cell_angle_beta 90.00
_cell_angle_gamma 90.00
_symmetry_space_group_name_H-M 'I 4/m m m'
_symmetry_Int_Tables_number 139
_symmetry_space_group_name_Hall '-I 4 2'
loop_
_atom_site_label
_atom_site_type_symbol
_atom_site_fract_x
_atom_site_fract_y
_atom_site_fract_z
Cs1 Cs 0.0000 0.5000 0.2500
Hg1 Hg 0.0000 0.0000 0.0000
B1 B 0.0000 0.0000 0.5000
Cl1 Cl 0.0000 0.0000 0.2390
Cl2 Cl 0.1957 0.1957 0.5000
```


Cs2InBCl: optimized geometry, PBE-GGA.

Results
Raw formation energy in meV/atom: 458.1
Electronic total energy in eV/atom: -2.136

The structure in CIF format:
```
data_Cs2InBCl
_cell_length_a 6.6812
_cell_length_b 6.6812
_cell_length_c 5.1209
_cell_angle_alpha 90.00
_cell_angle_beta 90.00
_cell_angle_gamma 90.00
_symmetry_space_group_name_H-M 'P 4/m m m'
_symmetry_Int_Tables_number 123
_symmetry_space_group_name_Hall '-P 4 2'
loop_
_atom_site_label
_atom_site_type_symbol
_atom_site_fract_x
_atom_site_fract_y
_atom_site_fract_z
Cs1 Cs 0.0000 0.5000 0.0000
In1 In 0.0000 0.0000 0.5000
B1 B 0.5000 0.5000 0.5000
Cl1 Cl 0.5000 0.5000 0.0000
```


Cs2InBCl6: optimized geometry, PBE-GGA.

Results
Raw formation energy in meV/atom: -982.9
Electronic total energy in eV/atom: -3.203

The structure in CIF format:
```
data_Cs2InBCl6
_cell_length_a 7.3862
_cell_length_b 7.3862
_cell_length_c 10.4933
_cell_angle_alpha 90.00
_cell_angle_beta 90.00
_cell_angle_gamma 90.00
_symmetry_space_group_name_H-M 'I 4/m m m'
_symmetry_Int_Tables_number 139
_symmetry_space_group_name_Hall '-I 4 2'
loop_
_atom_site_label
_atom_site_type_symbol
_atom_site_fract_x
_atom_site_fract_y
_atom_site_fract_z
Cs1 Cs 0.0000 0.5000 0.2500
In1 In 0.0000 0.0000 0.0000
B1 B 0.0000 0.0000 0.5000
Cl1 Cl 0.0000 0.0000 0.2458
Cl2 Cl 0.2473 0.2473 0.0000
```


Cs2BIrCl6: optimized geometry, PBE-GGA.

Results
Raw formation energy in meV/atom: -695.1
Electronic total energy in eV/atom: -3.528

The structure in CIF format:
```
data_Cs2BIrCl6
_cell_length_a 6.8850
_cell_length_b 6.8850
_cell_length_c 11.4065
_cell_angle_alpha 90.00
_cell_angle_beta 90.00
_cell_angle_gamma 90.00
_symmetry_space_group_name_H-M 'I 4/m m m'
_symmetry_Int_Tables_number 139
_symmetry_space_group_name_Hall '-I 4 2'
loop_
_atom_site_label
_atom_site_type_symbol
_atom_site_fract_x
_atom_site_fract_y
_atom_site_fract_z
Cs1 Cs 0.0000 0.5000 0.2500
B1 B 0.0000 0.0000 0.0000
Ir1 Ir 0.0000 0.0000 0.5000
Cl1 Cl 0.0000 0.0000 0.2910
Cl2 Cl 0.2480 0.2480 0.5000
```


Cs2LaBCl: optimized geometry, PBE-GGA.

Results
Raw formation energy in meV/atom: 62.9
Electronic total energy in eV/atom: -2.969

The structure in CIF format:
```
data_Cs2LaBCl
_cell_length_a 6.8668
_cell_length_b 6.8668
_cell_length_c 4.8999
_cell_angle_alpha 90.00
_cell_angle_beta 90.00
_cell_angle_gamma 90.00
_symmetry_space_group_name_H-M 'P 4/m m m'
_symmetry_Int_Tables_number 123
_symmetry_space_group_name_Hall '-P 4 2'
loop_
_atom_site_label
_atom_site_type_symbol
_atom_site_fract_x
_atom_site_fract_y
_atom_site_fract_z
Cs1 Cs 0.0000 0.5000 0.0000
La1 La 0.0000 0.0000 0.5000
B1 B 0.0000 0.0000 0.0000
Cl1 Cl 0.5000 0.5000 0.5000
```